No. 1
Compound: HoAlNiPd
Source: the Alexandria database
Functional: PBE-GGA
Structure: relaxed

Results
Space group: F-43m
E_tot (Ry/atom): -0.4021
Energy of formation (kcal/mol of atoms): -14.9
V (Å³/f.u.): 67.6

Cell lengths 4.573, 4.573, 4.573 Å; angles 60.00, 60.00, 60.00 degrees
Atoms (fractional coordinates):
1 Ho 0.000 0.000 0.000
2 Al 0.500 0.500 0.500
3 Ni 0.750 0.750 0.750
4 Pd 0.250 0.250 0.250

No. 2
Compound: Ho2Al4NiPd3
Source: the Alexandria database
Functional: PBE-GGA
Structure: relaxed

Results
Space group: P-4m2
E_tot (Ry/atom): -0.3913
Energy of formation (kcal/mol of atoms): -17.9
V (Å³/f.u.): 181.1

Cell lengths 4.119, 4.119, 10.675 Å; angles 90.00, 90.00, 90.00 degrees
Atoms (fractional coordinates):
1 Ho 0.000 0.500 0.244
2 Ho 0.500 0.000 0.756
3 Al 0.000 0.000 0.500
4 Al 0.000 0.500 0.876
5 Al 0.500 0.000 0.124
6 Al 0.500 0.500 0.500
7 Ni 0.500 0.500 0.000
8 Pd 0.000 0.000 0.000
9 Pd 0.000 0.500 0.642
10 Pd 0.500 0.000 0.358

No. 3
Compound: HoAl4NiPd2
Source: the Alexandria database
Functional: PBE-GGA
Structure: relaxed

Results
Space group: R-3m
E_tot (Ry/atom): -0.3792
Energy of formation (kcal/mol of atoms): -16.0
V (Å³/f.u.): 133.5

Cell lengths 8.971, 8.971, 8.971 Å; angles 27.25, 27.25, 27.25 degrees
Atoms (fractional coordinates):
1 Ho 0.000 0.000 0.000
2 Al 0.136 0.136 0.136
3 Al 0.405 0.405 0.405
4 Al 0.595 0.595 0.595
5 Al 0.864 0.864 0.864
6 Ni 0.500 0.500 0.500
7 Pd 0.239 0.239 0.239
8 Pd 0.761 0.761 0.761

No. 4
Compound: PmHoAlNi
Source: the Alexandria database
Functional: PBE-GGA
Structure: relaxed

Results
Space group: F-43m
E_tot (Ry/atom): -0.3662
Energy of formation (kcal/mol of atoms): -6.2
V (Å³/f.u.): 89.9

Cell lengths 5.029, 5.029, 5.029 Å; angles 60.00, 60.00, 60.00 degrees
Atoms (fractional coordinates):
1 Pm 0.000 0.000 0.000
2 Ho 0.500 0.500 0.500
3 Al 0.250 0.250 0.250
4 Ni 0.750 0.750 0.750